# B5H2Pb2O11

A relaxed structure of B5H2Pb2O11 (PBE, the Alexandria database).

Unit cell a=6.675 b=11.627 c=13.168 alpha=90.00 beta=120.19 gamma=90.00
Space group P2_1/c (No. 14)
Inequivalent atoms, fractional coordinates:
1 B 0.007 0.188 0.217 x4
2 B 0.225 0.005 0.232 x4
3 B 0.287 0.716 0.967 x4
4 B 0.345 0.715 0.793 x4
5 B 0.442 0.195 0.307 x4
6 H 0.270 0.525 0.439 x4
7 H 0.308 0.060 0.496 x4
8 Pb 0.134 0.229 0.968 x4
9 Pb 0.203 0.030 0.681 x4
10 O 0.016 0.065 0.183 x4
11 O 0.056 0.739 0.888 x4
12 O 0.154 0.065 0.488 x4
13 O 0.171 0.691 0.248 x4
14 O 0.213 0.611 0.726 x4
15 O 0.233 0.225 0.313 x4
16 O 0.344 0.712 0.081 x4
17 O 0.405 0.008 0.012 x4
18 O 0.432 0.065 0.283 x4
19 O 0.435 0.698 0.924 x4
20 O 0.450 0.238 0.715 x4

Values from the calculation:
- total magnetization (Bohr magnetons per cell) = 0.0
- DOS(E_F) (states/eV per cell) = 0.00
- raw total energy (eV/atom) = -7.03

---

# Mg2AgRu

A relaxed structure of Mg2AgRu (PBE, the Alexandria database).

Unit cell a=6.478 b=6.478 c=6.478 alpha=90.00 beta=90.00 gamma=90.00
Space group F-43m (No. 216)
Inequivalent atoms, fractional coordinates:
1 Mg 0.000 0.000 0.000 x4
2 Mg 0.250 0.250 0.250 x4
3 Ag 0.250 0.250 0.750 x4
4 Ru 0.000 0.000 0.500 x4

Values from the calculation:
- total magnetization (Bohr magnetons per cell) = 0.0
- DOS(E_F) (states/eV per cell) = 14.16
- E_form (meV/atom) = 125

---

# Tb2Ho2Th

A relaxed structure of Tb2Ho2Th (PBE, the Alexandria database).

Unit cell a=5.360 b=3.503 c=8.820 alpha=90.00 beta=107.63 gamma=90.00
Space group P2/m (No. 10)
Inequivalent atoms, fractional coordinates:
1 Tb 0.199 0.000 0.398 x2
2 Ho 0.394 0.500 0.788 x2
3 Th 0.000 0.000 0.000 x1

Values from the calculation:
- total magnetization (Bohr magnetons per cell) = 0.0
- DOS(E_F) (states/eV per cell) = 6.49
- E_form (meV/atom) = 51

---

# Dy3ErGa2

A relaxed structure of Dy3ErGa2 (PBE, the Alexandria database).

Unit cell a=4.946 b=9.438 c=6.543 alpha=90.00 beta=90.00 gamma=90.00
Space group Pmc2_1 (No. 26)
Inequivalent atoms, fractional coordinates:
1 Dy 0.000 0.048 0.000 x2
2 Dy 0.000 0.323 0.357 x2
3 Dy 0.500 0.180 0.709 x2
4 Er 0.500 0.451 0.066 x2
5 Ga 0.000 0.358 0.825 x2
6 Ga 0.500 0.142 0.241 x2

Values from the calculation:
- total magnetization (Bohr magnetons per cell) = 0.0
- DOS(E_F) (states/eV per cell) = 10.84
- E_form (meV/atom) = -428

---

# SmVPt

A relaxed structure of SmVPt (PBE, the Alexandria database).

Unit cell a=3.637 b=16.443 c=4.465 alpha=90.00 beta=90.00 gamma=90.00
Space group Cmcm (No. 63)
Inequivalent atoms, fractional coordinates:
1 Sm 0.000 0.167 0.250 x4
2 V 0.000 0.500 0.000 x4
3 Pt 0.000 0.355 0.250 x4

Values from the calculation:
- total magnetization (Bohr magnetons per cell) = 0.0
- DOS(E_F) (states/eV per cell) = 16.81
- E_form (meV/atom) = -198

---

# Ba5Pt

A relaxed structure of Ba5Pt (PBE, the Alexandria database).

Unit cell a=15.003 b=4.360 c=10.029 alpha=90.00 beta=101.20 gamma=90.00
Space group Cm (No. 8)
Inequivalent atoms, fractional coordinates:
1 Ba 0.000 0.000 0.000 x2
2 Ba 0.091 0.500 0.431 x2
3 Ba 0.188 0.500 0.825 x2
4 Ba 0.296 0.000 0.207 x2
5 Ba 0.389 0.000 0.633 x2
6 Pt 0.046 0.000 0.686 x2

Values from the calculation:
- total magnetization (Bohr magnetons per cell) = 0.0
- DOS(E_F) (states/eV per cell) = 12.57
- E_form (meV/atom) = -266

---

# RhSeBr2

A relaxed structure of RhSeBr2 (PBE, the Alexandria database).

Unit cell a=10.386 b=10.386 c=4.654 alpha=90.00 beta=90.00 gamma=90.00
Space group I-42d (No. 122)
Inequivalent atoms, fractional coordinates:
1 Rh 0.000 0.000 0.000 x4
2 Se 0.000 0.000 0.500 x4
3 Br 0.001 0.250 0.125 x8

Values from the calculation:
- total magnetization (Bohr magnetons per cell) = 0.0
- DOS(E_F) (states/eV per cell) = 10.87
- raw total energy (eV/atom) = -3.45

---

# CoRePb

A relaxed structure of CoRePb (PBE, the Alexandria database).

Unit cell a=3.156 b=3.156 c=11.312 alpha=90.00 beta=90.07 gamma=90.00
Space group P2_1/m (No. 11)
Inequivalent atoms, fractional coordinates:
1 Co 0.249 0.250 0.318 x2
2 Re 0.250 0.250 0.561 x2
3 Pb 0.252 0.250 0.847 x2

Values from the calculation:
- total magnetization (Bohr magnetons per cell) = 2.8
- DOS(E_F) (states/eV per cell) = 4.63
- E_form (meV/atom) = 311

---

Question: Which value of total magnetization does entry 8 give?
Answer: 2.8 Bohr magnetons per cell